(1)
This record from Alexandria describes a relaxed structure of AlTe3. The functional is GGA-PBE. Values from VASP.

Computed properties:
Total magnetic moment   0.00 μB/f.u.
N(E_F)   0.62 states/eV/atom
Space-group type   R-3m, No. 166
Total DFT energy (no corrections)   -3.343 eV per atom

Geometry as Quantum ESPRESSO input:
```
&SYSTEM
  ibrav = 0, nat = 4, ntyp = 2
/
ATOMIC_SPECIES
Te 127.60 Te.upf
Al 26.98 Al.upf
ATOMIC_POSITIONS angstrom
Te -6.995 2.107 15.323
Te -4.754 1.432 10.414
Te -2.513 0.757 5.505
Al 0.000 0.000 0.000
CELL_PARAMETERS angstrom
-2.456 3.219 6.957
-5.295 0.385 6.050
-1.758 -0.741 7.820
```



(2)
This record from Alexandria describes a relaxed structure of BaAlAs. The functional is GGA-PBE. Values from VASP.

Computed properties:
Total magnetic moment   0.00 μB/f.u.
N(E_F)   0.11 states/eV/atom
Space-group type   F-43m, No. 216
Total DFT energy (no corrections)   -3.358 eV per atom
Formation energy from the elements   0.080 eV/atom

Geometry as Quantum ESPRESSO input:
```
&SYSTEM
  ibrav = 0, nat = 3, ntyp = 3
/
ATOMIC_SPECIES
As 74.92 As.upf
Ba 137.33 Ba.upf
Al 26.98 Al.upf
ATOMIC_POSITIONS angstrom
As 5.307 3.064 2.167
Ba 2.653 1.532 1.083
Al 0.000 0.000 0.000
CELL_PARAMETERS angstrom
5.307 0.000 0.000
2.653 4.596 0.000
2.653 1.532 4.333
```